No. 1
Crystalline BaNa2FeH6 at its relaxed geometry, computed with GGA-PBE.

POSCAR file:
```
BaNa2FeH6
1.0
5.2794 0.0000 0.0000
-2.6397 4.5721 0.0000
0.0000 0.0000 6.3908
Ba Na Fe H
1 2 1 6
Cartesian
0.0000 0.0000 0.0000 Ba
0.0000 3.0481 2.7864 Na
2.6397 1.5240 3.6045 Na
0.0000 0.0000 3.1954 Fe
0.0000 1.2986 4.1531 H
-1.5151 3.9228 4.1531 H
1.1246 0.6493 2.2378 H
1.5151 3.9228 4.1531 H
4.1548 0.6493 2.2378 H
2.6397 3.2735 2.2378 H
```

Mass density, Mg/m³: 2.64
SG: P-3m1 (164)
Energy, Ry per atom: -0.2575



No. 2
Crystalline U3Si7Ir2 at its relaxed geometry, computed with GGA-PBE.

POSCAR file:
```
U3Si7Ir2
1.0
4.1174 0.0000 0.0000
0.0000 4.0806 0.0000
-1.8823 0.0000 12.4879
U Si Ir
3 7 2
Cartesian
0.0000 0.0000 0.0000 U
0.0605 2.0403 7.8669 U
2.1746 2.0403 4.6210 U
0.3550 2.0403 2.1089 Si
0.1018 0.0000 5.6344 Si
0.2007 0.0000 10.4233 Si
2.0587 2.0403 0.0000 Si
2.0345 0.0000 2.0646 Si
2.1333 0.0000 6.8535 Si
1.8802 2.0403 10.3790 Si
-0.0738 0.0000 3.2629 Ir
2.3089 0.0000 9.2250 Ir
```

Mass density, Mg/m³: 10.25
SG: P2/m (10)
Energy, Ry per atom: -0.5865



No. 3
Crystalline Tb4SiSe2S at its relaxed geometry, computed with GGA-PBE.

POSCAR file:
```
Tb4SiSe2S
1.0
7.0126 0.0000 0.0000
0.0000 4.0636 0.0000
-2.3638 0.0000 6.7386
Tb Si Se S
4 1 2 1
Cartesian
1.1485 0.0000 1.5782 Tb
-0.0398 2.0318 5.1810 Tb
4.6886 2.0318 1.5577 Tb
3.5004 0.0000 5.1604 Tb
0.0000 2.0318 0.0000 Si
-1.1819 0.0000 3.3693 Se
2.3244 2.0318 3.3693 Se
3.5063 0.0000 0.0000 S
```

Mass density, Mg/m³: 7.38
SG: P2/m (10)
Energy, Ry per atom: -0.4432



No. 4
Crystalline Ca3Ga4Ni4 at its relaxed geometry, computed with GGA-PBE.

POSCAR file:
```
Ca3Ga4Ni4
1.0
-3.7033 3.7033 3.7033
3.7033 -3.7033 3.7033
3.7033 3.7033 -3.7033
Ca Ga Ni
3 4 4
Cartesian
3.7033 0.0000 0.0000 Ca
0.0000 3.7033 0.0000 Ca
0.0000 0.0000 3.7033 Ca
1.4428 1.4428 -1.4428 Ga
1.4428 -1.4428 1.4428 Ga
-1.4428 1.4428 1.4428 Ga
2.2605 2.2605 2.2605 Ga
2.7936 2.7936 -2.7936 Ni
2.7936 -2.7936 2.7936 Ni
0.9097 0.9097 0.9097 Ni
-2.7936 2.7936 2.7936 Ni
```

ΔH_f (0 K), eV/atom: -0.4880
Mass density, Mg/m³: 5.18
SG: I-43m (217)



No. 5
Crystalline AgSbTe2 at its relaxed geometry, computed with GGA-PBE.

POSCAR file:
```
AgSbTe2
1.0
2.9956 -4.3264 0.0000
2.9956 4.3264 0.0000
-2.9767 0.0000 4.3706
Ag Sb Te
1 1 2
Cartesian
0.0000 0.0000 0.0000 Ag
2.9956 0.0000 0.0000 Sb
0.0094 2.1632 2.1853 Te
0.0094 -2.1632 2.1853 Te
```

Mass density, Mg/m³: 7.11
SG: C2/m (12)
Energy, Ry per atom: -0.2425



No. 6
Crystalline KYP2 at its relaxed geometry, computed with GGA-PBE.

POSCAR file:
```
KYP2
1.0
7.0940 -1.9190 0.0000
7.0940 1.9190 0.0000
-0.0057 0.0000 3.8165
K Y P
1 1 2
Cartesian
0.0000 0.0000 0.0000 K
10.7530 0.0000 0.0089 Y
2.6244 0.0000 1.9154 P
4.8845 0.0000 1.9186 P
```

ΔH_f (0 K), eV/atom: -0.7991
Mass density, Mg/m³: 3.04
SG: Cm (8)



No. 7
Crystalline Ba6Te7 at its relaxed geometry, computed with GGA-PBE.

POSCAR file:
```
Ba6Te7
1.0
3.6003 2.0786 14.0546
-3.6003 2.0786 14.0546
0.0000 -4.1572 14.0546
Ba Te
6 7
Cartesian
0.0000 0.0000 2.7033 Ba
0.0000 0.0000 8.6429 Ba
0.0000 0.0000 14.0504 Ba
0.0000 0.0000 28.1135 Ba
0.0000 0.0000 33.5210 Ba
0.0000 0.0000 39.4606 Ba
-1.7700 -1.0219 16.8245 Te
0.0000 -2.0438 25.3394 Te
-1.7700 1.0219 25.3394 Te
0.0000 0.0000 21.0820 Te
1.7700 -1.0219 16.8245 Te
0.0000 2.0438 16.8245 Te
1.7700 1.0219 25.3394 Te
```

Mass density, Mg/m³: 4.52
SG: R-3m (166)
Energy, Ry per atom: -0.2630



No. 8
Crystalline K2NaTaF at its relaxed geometry, computed with GGA-PBE.

POSCAR file:
```
K2NaTaF
1.0
6.6465 0.0000 0.0000
0.0000 6.6465 0.0000
0.0000 0.0000 5.9381
K Na Ta F
2 1 1 1
Cartesian
0.0000 3.3233 0.0000 K
3.3233 0.0000 0.0000 K
0.0000 0.0000 2.9690 Na
0.0000 0.0000 0.0000 Ta
3.3233 3.3233 2.9690 F
```

Mass density, Mg/m³: 1.91
SG: P4/mmm (123)
Energy, Ry per atom: -0.1973



No. 9
Crystalline NbSn2TeAs at its relaxed geometry, computed with GGA-PBE.

POSCAR file:
```
NbSn2TeAs
1.0
5.4853 0.0000 0.0000
0.0000 5.4853 0.0000
0.0000 0.0000 5.2379
Nb Sn Te As
1 2 1 1
Cartesian
0.0000 0.0000 0.0000 Nb
0.0000 2.7427 0.0000 Sn
2.7427 0.0000 0.0000 Sn
0.0000 0.0000 2.6190 Te
2.7427 2.7427 2.6190 As
```

Mass density, Mg/m³: 5.61
SG: P4/mmm (123)
Energy, Ry per atom: -0.3385



No. 10
Crystalline NaHgPS2 at its relaxed geometry, computed with GGA-PBE.

POSCAR file:
```
NaHgPS2
1.0
5.1842 0.0000 0.0000
0.0000 5.1842 0.0000
0.0000 0.0000 4.9950
Na Hg P S
1 1 1 2
Cartesian
0.0000 0.0000 0.0000 Na
2.5921 2.5921 2.4975 Hg
2.5921 2.5921 0.0000 P
0.0000 2.5921 2.4975 S
2.5921 0.0000 2.4975 S
```

Mass density, Mg/m³: 3.94
SG: P4/mmm (123)
Energy, Ry per atom: -0.1849



No. 11
Crystalline ScBiPd6 at its relaxed geometry, computed with GGA-PBE.

POSCAR file:
```
ScBiPd6
1.0
3.9334 -2.7425 0.0000
3.9334 2.7425 0.0000
-2.2730 0.0000 7.0608
Sc Bi Pd
1 1 6
Cartesian
0.0000 0.0000 0.0000 Sc
2.7969 0.0000 3.5304 Bi
0.7724 1.3245 4.9992 Pd
2.6777 0.0000 0.4536 Pd
4.8214 1.3245 2.0616 Pd
0.7724 -1.3245 4.9992 Pd
2.9160 0.0000 6.6072 Pd
4.8214 -1.3245 2.0616 Pd
```

ΔH_f (0 K), eV/atom: -0.3263
Mass density, Mg/m³: 9.73
SG: C2/m (12)



No. 12
Crystalline BeTlAs2 at its relaxed geometry, computed with GGA-PBE.

POSCAR file:
```
BeTlAs2
1.0
2.7265 -3.8685 0.0000
2.7265 3.8685 0.0000
-1.8741 0.0000 3.8985
Be Tl As
1 1 2
Cartesian
0.0000 0.0000 0.0000 Be
2.7265 0.0000 0.0000 Tl
0.4262 1.9343 1.9493 As
0.4262 -1.9343 1.9493 As
```

ΔH_f (0 K), eV/atom: 0.5212
Mass density, Mg/m³: 7.33
SG: C2/m (12)



No. 13
Crystalline YAl2Te4 at its relaxed geometry, computed with GGA-PBE.

POSCAR file:
```
YAl2Te4
1.0
-4.1133 4.1133 3.4668
4.1133 -4.1133 3.4668
4.1133 4.1133 -3.4668
Y Al Te
1 2 4
Cartesian
0.0000 0.0000 0.0000 Y
4.1133 0.0000 1.7334 Al
0.0000 4.1133 1.7334 Al
2.7240 1.5077 0.0000 Te
2.6056 -1.3893 3.4668 Te
1.5077 5.5026 0.0000 Te
1.3893 2.6056 3.4668 Te
```

Mass density, Mg/m³: 4.62
SG: I4/m (87)
Energy, Ry per atom: -0.3158



No. 14
Crystalline V2Ga2H at its relaxed geometry, computed with GGA-PBE.

POSCAR file:
```
V2Ga2H
1.0
4.8348 -1.5806 0.0000
4.8348 1.5806 0.0000
-4.5930 0.0000 7.9005
V Ga H
4 4 2
Cartesian
-0.4740 0.0000 1.2047 V
-0.6726 0.0000 4.6575 V
5.7492 0.0000 3.2430 V
5.5507 0.0000 6.6958 V
-1.3499 0.0000 7.2653 Ga
3.1147 0.0000 2.7928 Ga
1.9619 0.0000 5.1077 Ga
6.4265 0.0000 0.6352 Ga
0.8673 0.0000 2.3548 H
4.2094 0.0000 5.5457 H
```

Mass density, Mg/m³: 6.67
SG: C2/m (12)
Energy, Ry per atom: -0.4167



No. 15
Crystalline SmTl2Ag at its relaxed geometry, computed with GGA-PBE.

POSCAR file:
```
SmTl2Ag
1.0
3.6767 0.0000 0.0000
0.0000 3.6767 0.0000
0.0000 0.0000 7.4926
Sm Tl Ag
1 2 1
Cartesian
0.0000 0.0000 0.0000 Sm
1.8384 1.8384 2.0804 Tl
1.8384 1.8384 5.4123 Tl
0.0000 0.0000 3.7463 Ag
```

ΔH_f (0 K), eV/atom: -0.1168
Mass density, Mg/m³: 10.93
SG: P4/mmm (123)



No. 16
Crystalline FeOsPt2 at its relaxed geometry, computed with GGA-PBE.

POSCAR file:
```
FeOsPt2
1.0
4.5288 -1.3669 0.0000
4.5288 1.3669 0.0000
-0.8067 0.0000 4.6724
Fe Os Pt
1 1 2
Cartesian
0.0000 0.0000 0.0000 Fe
4.1255 0.0000 2.3362 Os
1.6506 0.0000 3.5007 Pt
6.6004 0.0000 1.1717 Pt
```

ΔH_f (0 K), eV/atom: 0.0825
Mass density, Mg/m³: 18.26
SG: C2/m (12)



No. 17
Crystalline ZrCu2Au at its relaxed geometry, computed with GGA-PBE.

POSCAR file:
```
ZrCu2Au
1.0
-1.3936 2.4515 5.3241
1.3936 -2.4515 5.3241
1.3936 2.4515 -5.3241
Zr Cu Au
1 2 1
Cartesian
0.0000 0.0000 0.0000 Zr
0.0000 0.0000 2.7328 Cu
0.0000 0.0000 7.9153 Cu
0.0000 0.0000 5.3241 Au
```

ΔH_f (0 K), eV/atom: 0.2655
Mass density, Mg/m³: 9.48
SG: Immm (71)



No. 18
Crystalline KPtW2 at its relaxed geometry, computed with GGA-PBE.

POSCAR file:
```
KPtW2
1.0
-1.9582 1.9582 4.8084
1.9582 -1.9582 4.8084
1.9582 1.9582 -4.8084
K Pt W
1 1 2
Cartesian
0.0000 0.0000 0.0000 K
0.0000 0.0000 4.8084 Pt
1.9582 0.0000 2.4042 W
0.0000 1.9582 2.4042 W
```

ΔH_f (0 K), eV/atom: 1.4016
Mass density, Mg/m³: 13.55
SG: I4/mmm (139)



No. 19
Crystalline TbPm5Sm6 at its relaxed geometry, computed with GGA-PBE.

POSCAR file:
```
TbPm5Sm6
1.0
3.1469 -5.4485 0.0000
3.1469 5.4485 0.0000
-2.1006 0.0000 11.8627
Tb Pm Sm
1 5 6
Cartesian
0.0000 0.0000 0.0000 Tb
2.0966 3.6337 5.9313 Pm
3.1469 1.8163 0.0000 Pm
2.0966 0.0000 5.9313 Pm
3.1469 -1.8163 0.0000 Pm
2.0966 -3.6337 5.9313 Pm
1.0431 1.8130 2.9560 Sm
-0.0034 0.0000 8.9054 Sm
1.0431 -1.8130 2.9560 Sm
3.1500 1.8130 8.9067 Sm
4.1965 0.0000 2.9573 Sm
3.1500 -1.8130 8.9067 Sm
```

ΔH_f (0 K), eV/atom: 0.0129
Mass density, Mg/m³: 7.29
SG: C2/m (12)



No. 20
Crystalline BPt at its relaxed geometry, computed with GGA-PBE.

POSCAR file:
```
BPt
1.0
3.6631 -1.7371 0.0000
3.6631 1.7371 0.0000
-1.1932 0.0000 3.9916
B Pt
2 2
Cartesian
0.5437 0.0000 0.6990 B
5.5893 0.0000 3.2926 B
0.6049 0.0000 2.8708 Pt
5.5281 0.0000 1.1208 Pt
```

ΔH_f (0 K), eV/atom: -0.0847
Mass density, Mg/m³: 13.46
SG: C2/m (12)